[1]
Below is a relaxed structure of IrS, with properties calculated at the PBE-GGA level.

E_form (uncorrected)   -2.7 meV/atom

Lattice parameters (Å, degrees): 8.7817 8.7817 3.8697 90.00 90.00 120.00
Closest atoms and distances in Å follow each position.
Fractional coordinates of all 12 atoms:
1 S 0.1122 0.3940 0.7500  4 Ir 2.24-2.36
2 S 0.8878 0.6060 0.2500  4 Ir 2.24-2.36
3 S 0.6060 0.7182 0.7500  4 Ir 2.24-2.36
4 S 0.2818 0.8878 0.7500  4 Ir 2.24-2.36
5 S 0.7182 0.1122 0.2500  4 Ir 2.24-2.36
6 S 0.3940 0.2818 0.2500  4 Ir 2.24-2.36
7 Ir 0.5796 0.9596 0.7500  4 S 2.24-2.36
8 Ir 0.6200 0.5796 0.2500  4 S 2.24-2.36
9 Ir 0.4204 0.0404 0.2500  4 S 2.24-2.36
10 Ir 0.3800 0.4204 0.7500  4 S 2.24-2.36
11 Ir 0.0404 0.6200 0.7500  4 S 2.24-2.36
12 Ir 0.9596 0.3800 0.2500  4 S 2.24-2.36

***

[2]
Below is a relaxed structure of IrS, with properties calculated at the PBE-GGA level.

E_form (uncorrected)   354.7 meV/atom

Lattice parameters (Å, degrees): 2.7824 2.7824 4.5578 90.00 90.00 120.00
Closest atoms and distances in Å follow each position.
Fractional coordinates of all 2 atoms:
1 Ir 0.0000 0.0000 0.5000  2 S 2.28
2 S 0.0000 0.0000 0.0000  2 Ir 2.28

***

[3]
Below is a relaxed structure of IrS, with properties calculated at the PBE-GGA level.

E_form (uncorrected)   102.1 meV/atom

Lattice parameters (Å, degrees): 3.5913 3.5913 6.5370 90.00 90.00 120.00
Closest atoms and distances in Å follow each position.
Fractional coordinates of all 4 atoms:
1 Ir 0.3333 0.6667 0.7206  4 S 2.27-2.35
2 Ir 0.6667 0.3333 0.2206  4 S 2.27-2.35
3 S 0.6667 0.3333 0.8614  4 Ir 2.27-2.35
4 S 0.3333 0.6667 0.3614  4 Ir 2.27-2.35

***

[4]
Below is a relaxed structure of IrS, with properties calculated at the PBE-GGA level.

E_form (uncorrected)   79.2 meV/atom

Lattice parameters (Å, degrees): 10.1354 10.1354 3.7603 90.00 90.00 90.00
Closest atoms and distances in Å follow each position.
Fractional coordinates of all 16 atoms:
1 S 0.9092 0.3389 0.0000  4 Ir 2.29-2.37
2 S 0.3702 0.7634 0.5000  4 Ir 2.25-2.42
3 S 0.0908 0.6611 0.0000  4 Ir 2.29-2.37
4 S 0.6611 0.9092 0.0000  4 Ir 2.29-2.37
5 S 0.2366 0.3702 0.5000  4 Ir 2.25-2.42
6 S 0.3389 0.0908 0.0000  4 Ir 2.29-2.37
7 S 0.7634 0.6298 0.5000  4 Ir 2.25-2.42
8 S 0.6298 0.2366 0.5000  4 Ir 2.25-2.42
9 Ir 0.6073 0.7875 0.5000  4 S 2.25-2.42
10 Ir 0.4289 0.8836 0.0000  4 S 2.29-2.37
11 Ir 0.8836 0.5711 0.0000  4 S 2.29-2.37
12 Ir 0.7875 0.3927 0.5000  4 S 2.25-2.42
13 Ir 0.3927 0.2125 0.5000  4 S 2.25-2.42
14 Ir 0.1164 0.4289 0.0000  4 S 2.29-2.37
15 Ir 0.5711 0.1164 0.0000  4 S 2.29-2.37
16 Ir 0.2125 0.6073 0.5000  4 S 2.25-2.42

***

[5]
Below is a relaxed structure of IrS, with properties calculated at the PBE-GGA level.

E_form (uncorrected)   113.2 meV/atom

Lattice parameters (Å, degrees): 7.1608 6.3517 7.4609 90.00 90.00 90.00
Closest atoms and distances in Å follow each position.
Fractional coordinates of all 16 atoms:
1 S 0.1581 0.9080 0.5539  4 Ir 2.30-2.38
2 S 0.3419 0.0920 0.0539  4 Ir 2.30-2.38
3 S 0.8395 0.9366 0.1677  4 Ir 2.23-2.35
4 S 0.6581 0.5920 0.4461  4 Ir 2.30-2.38
5 S 0.8419 0.4080 0.9461  4 Ir 2.30-2.38
6 S 0.6605 0.0634 0.6677  4 Ir 2.23-2.35
7 S 0.3395 0.5634 0.8323  4 Ir 2.23-2.35
8 S 0.1605 0.4366 0.3323  4 Ir 2.23-2.35
9 Ir 0.1147 0.0826 0.2858  4 S 2.30-2.38
10 Ir 0.8853 0.5826 0.2142  4 S 2.30-2.38
11 Ir 0.6599 0.1110 0.9736  4 S 2.23-2.36
12 Ir 0.3853 0.9174 0.7858  4 S 2.30-2.38
13 Ir 0.3401 0.6110 0.5264  4 S 2.23-2.36
14 Ir 0.8401 0.8890 0.4736  4 S 2.23-2.36
15 Ir 0.1599 0.3890 0.0264  4 S 2.23-2.36
16 Ir 0.6147 0.4174 0.7142  4 S 2.30-2.38

***

[6]
Below is a relaxed structure of Ir2S, with properties calculated at the PBE-GGA level.

E_form (uncorrected)   291.5 meV/atom
Distance to the lowest polymorph of the same formula   155 meV per atom

Lattice parameters (Å, degrees): 3.6903 3.8441 3.9414 64.47 74.49 89.80
Closest atoms and distances in Å follow each position.
Fractional coordinates of all 3 atoms:
1 Ir 0.1687 0.6900 0.6491  2 S 2.26-2.27
2 Ir 0.7518 0.2851 0.4490  2 S 2.28-2.29
3 S 0.4231 0.2098 0.0617  4 Ir 2.26-2.29